Entry 1:
4
Lattice="3.871 -1.569 0.000 3.871 1.569 0.000 -0.640 0.000 5.910" Properties=species:S:1:pos:R:3 comment="TcSbP2 (PBE, relaxed)" raw_formation_energy_mev_per_atom=99 m_tot_mub_per_cell=0.00 pbc="T T T"
Tc 0.000 0.000 0.000
Sb 3.551 0.000 2.955
P 1.630 0.000 4.923
P 5.472 0.000 0.987

=====

Entry 2:
5
Lattice="4.541 0.000 0.000 0.000 4.541 0.000 0.000 0.000 4.541" Properties=species:S:1:pos:R:3 comment="Cd3FeB (PBE, relaxed)" relative_energy_mev_per_atom=0.0 e_form_kj_per_mol_fu=421 m_tot_mub_per_cell=3.11 pbc="T T T"
Cd 0.000 0.000 2.270
Cd 0.000 2.270 0.000
Cd 2.270 0.000 0.000
Fe 2.270 2.270 2.270
B 0.000 0.000 0.000

=====

Entry 3:
5
Lattice="3.954 0.000 0.000 0.000 3.954 0.000 0.000 0.000 3.969" Properties=species:S:1:pos:R:3 comment="TaHIrRh2 (PBE, relaxed)" relative_energy_mev_per_atom=0.0 m_tot_mub_per_cell=0.00 pbc="T T T"
Ta 0.000 0.000 0.000
H 1.977 1.977 1.985
Ir 1.977 1.977 0.000
Rh 0.000 1.977 1.985
Rh 1.977 0.000 1.985

=====

Entry 4:
4
Lattice="3.588 0.000 0.000 0.000 3.588 0.000 0.000 0.000 9.642" Properties=species:S:1:pos:R:3 comment="NaSm2Au (PBE, relaxed)" relative_energy_mev_per_atom=0.0 e_form_kj_per_mol_fu=-97 m_tot_mub_per_cell=0.00 pbc="T T T"
Na 0.000 0.000 0.000
Sm 1.794 1.794 3.003
Sm 1.794 1.794 6.638
Au 0.000 0.000 4.821

=====

Entry 5:
5
Lattice="4.768 0.000 0.000 0.000 4.768 0.000 0.000 0.000 4.618" Properties=species:S:1:pos:R:3 comment="CaMnFe2Pt (PBE, relaxed)" e_form_kj_per_mol_fu=421 m_tot_mub_per_cell=6.22 pbc="T T T"
Ca 0.000 0.000 0.000
Mn 2.384 2.384 0.000
Fe 0.000 2.384 2.309
Fe 2.384 0.000 2.309
Pt 2.384 2.384 2.309

=====

Entry 6:
10
Lattice="9.154 -2.154 0.000 9.154 2.154 0.000 -2.768 0.000 8.403" Properties=species:S:1:pos:R:3 comment="La4OsCl5 (PBE, relaxed)" raw_formation_energy_mev_per_atom=-1708 m_tot_mub_per_cell=0.01 pbc="T T T"
La -0.581 0.000 1.977
La 3.870 0.000 7.618
La 11.669 0.000 0.786
La 16.120 0.000 6.426
Os 9.154 0.000 0.000
Cl 0.674 0.000 7.307
Cl 2.227 0.000 2.765
Cl 7.770 0.000 4.202
Cl 13.313 0.000 5.639
Cl 14.865 0.000 1.097

=====

What is the formula in the fifth record?
CaMnFe2Pt

=====

What did the second record say?
5
Lattice="4.541 0.000 0.000 0.000 4.541 0.000 0.000 0.000 4.541" Properties=species:S:1:pos:R:3 comment="Cd3FeB (PBE, relaxed)" relative_energy_mev_per_atom=0.0 e_form_kj_per_mol_fu=421 m_tot_mub_per_cell=3.11 pbc="T T T"
Cd 0.000 0.000 2.270
Cd 0.000 2.270 0.000
Cd 2.270 0.000 0.000
Fe 2.270 2.270 2.270
B 0.000 0.000 0.000

=====

Number 2 is which compound?
Cd3FeB